1.
MnNi6Ge: relaxed, PBE.

Output
polymorph energy (0 for the lowest one): 4.21 eV per formula unit
total magnetization: 15.234 μB/cell
VASP energy: -5.7182 eV per atom

Unit cell a=4.7559 b=4.7559 c=18.3305 alpha=90.00 beta=90.00 gamma=120.00
Space group R-3m (No. 166, hexagonal axes)
Unique sites:
Mn 0.0000 0.0000 0.0000 x3
Ni 0.0054 0.5027 0.9358 x18
Ge 0.0000 0.0000 0.5000 x3

2.
Co2Tc: relaxed, PBE.

Output
polymorph energy (0 for the lowest one): 0.21 eV per formula unit
total magnetization: 1.928 μB/cell
VASP energy: -8.1286 eV per atom

Unit cell a=4.0364 b=4.0364 c=2.5343 alpha=90.00 beta=90.00 gamma=120.00
Space group P6/mmm (No. 191)
Unique sites:
Co 0.3333 0.6667 0.0000 x2
Tc 0.0000 0.0000 0.5000 x1

3.
BeHgAs2Pt: relaxed, PBE.

Output
total magnetization: 0.000 μB/cell
VASP energy: -3.4833 eV per atom

Unit cell a=4.481 b=4.481 c=4.541 alpha=90.00 beta=90.00 gamma=90.00
Space group P4/mmm (No. 123)
Unique sites:
Be 0.000 0.000 0.000 x1
Hg 0.500 0.500 0.500 x1
As 0.000 0.500 0.000 x2
Pt 0.000 0.000 0.500 x1

4.
Be2NiW: relaxed, PBE.

Output
polymorph energy (0 for the lowest one): 1.43 eV per formula unit
total magnetization: 0.000 μB/cell
VASP energy: -6.3617 eV per atom

Unit cell a=5.636 b=5.636 c=5.636 alpha=90.00 beta=90.00 gamma=90.00
Space group F-43m (No. 216)
Unique sites:
Be 0.000 0.000 0.000 x4
Be 0.250 0.250 0.250 x4
Ni 0.000 0.000 0.500 x4
W 0.250 0.250 0.750 x4

5.
Ac2Cd4AgHg3: relaxed, PBE.

Output
total magnetization: 0.000 μB/cell
VASP energy: -1.8307 eV per atom

Unit cell a=4.655 b=4.655 c=12.471 alpha=90.00 beta=90.00 gamma=90.00
Space group P-4m2 (No. 115)
Unique sites:
Ac 0.000 0.500 0.247 x2
Cd 0.000 0.000 0.500 x1
Cd 0.000 0.500 0.868 x2
Cd 0.500 0.500 0.500 x1
Ag 0.500 0.500 0.000 x1
Hg 0.000 0.000 0.000 x1
Hg 0.000 0.500 0.643 x2

6.
CeAs2RuRh: relaxed, PBE.

Output
total magnetization: 1.319 μB/cell
VASP energy: -7.1568 eV per atom

Unit cell a=4.114 b=4.114 c=10.811 alpha=90.00 beta=90.00 gamma=90.00
Space group I-4m2 (No. 119)
Unique sites:
Ce 0.000 0.000 0.000 x2
As 0.000 0.000 0.376 x4
Ru 0.000 0.500 0.750 x2
Rh 0.000 0.500 0.250 x2

7.
ScTiAgRu: relaxed, PBE.

Output
total magnetization: 0.003 μB/cell
VASP energy: -6.8787 eV per atom

Unit cell a=6.479 b=6.479 c=6.479 alpha=90.00 beta=90.00 gamma=90.00
Space group F-43m (No. 216)
Unique sites:
Sc 0.000 0.000 0.000 x4
Ti 0.000 0.000 0.500 x4
Ag 0.250 0.250 0.250 x4
Ru 0.250 0.250 0.750 x4

8.
TaTlZn: relaxed, PBE.

Output
polymorph energy (0 for the lowest one): 0.51 eV per formula unit
total magnetization: 0.000 μB/cell
VASP energy: -4.5764 eV per atom

Unit cell a=4.6870 b=4.6870 c=2.9721 alpha=90.00 beta=90.00 gamma=120.00
Space group P-6m2 (No. 187)
Unique sites:
Ta 0.0000 0.0000 0.0000 x1
Tl 0.6667 0.3333 0.5000 x1
Zn 0.3333 0.6667 0.5000 x1

9.
BaCu2Te2S6: relaxed, PBE.

Output
formation energy (no corrections): -0.36 eV per atom
total magnetization: 0.000 μB/cell
VASP energy: -4.1019 eV per atom

Unit cell a=6.817 b=7.506 c=7.539 alpha=116.91 beta=91.06 gamma=115.41
Space group P-1 (No. 2)
Unique sites:
Ba 0.000 0.000 0.000 x1
Cu 0.459 0.579 0.395 x2
Te 0.294 0.623 0.960 x2
S 0.094 0.509 0.236 x2
S 0.289 0.259 0.758 x2
S 0.487 0.222 0.263 x2

10.
LaSmEuEr: relaxed, PBE.

Output
total magnetization: 30.997 μB/cell
VASP energy: -5.9909 eV per atom

Unit cell a=8.290 b=8.290 c=8.290 alpha=90.00 beta=90.00 gamma=90.00
Space group F-43m (No. 216)
Unique sites:
La 0.000 0.000 0.000 x4
Sm 0.000 0.000 0.500 x4
Eu 0.250 0.250 0.250 x4
Er 0.250 0.250 0.750 x4

11.
Sm6P2PdS3: relaxed, PBE.

Output
formation energy (no corrections): -1.67 eV per atom
total magnetization: 0.000 μB/cell
VASP energy: -6.3970 eV per atom

Unit cell a=17.763 b=4.056 c=8.191 alpha=90.00 beta=103.34 gamma=90.00
Space group C2/m (No. 12)
Unique sites:
Sm 0.001 0.000 0.256 x4
Sm 0.169 0.500 0.580 x4
Sm 0.170 0.500 0.090 x4
P 0.166 0.000 0.333 x4
Pd 0.000 0.500 0.000 x2
S 0.000 0.500 0.500 x2
S 0.167 0.000 0.834 x4

12.
KTaW2: relaxed, PBE.

Output
polymorph energy (0 for the lowest one): 1.62 eV per formula unit
total magnetization: 0.000 μB/cell
VASP energy: -8.5848 eV per atom

Unit cell a=9.076 b=2.700 c=7.815 alpha=90.00 beta=90.60 gamma=90.00
Space group Cm (No. 8)
Unique sites:
K 0.000 0.000 0.000 x2
Ta 0.241 0.000 0.651 x2
W 0.003 0.500 0.481 x2
W 0.258 0.500 0.330 x2